1.
Material: UFeCu
Method: DFT, PBE-GGA
State: optimized geometry

a = 4.1745 Å, b = 4.1745 Å, c = 4.1745 Å
α = 60.00°, β = 60.00°, γ = 60.00°
Fractional coordinates of all 3 atoms:
U 0.0000 0.0000 0.0000
Fe 0.2500 0.2500 0.2500
Cu 0.5000 0.5000 0.5000

Results
As for the polymorph energy (0 for the lowest one): 0 meV per atom. As for the formation enthalpy at 0 K: 461 meV per atom. The total energy is -7.3129 eV per atom.



2.
Material: YFe2Cu
Method: DFT, PBE-GGA
State: optimized geometry

a = 4.4498 Å, b = 4.4498 Å, c = 4.4498 Å
α = 60.00°, β = 60.00°, γ = 60.00°
Fractional coordinates of all 4 atoms:
Y 0.0000 0.0000 0.0000
Fe 0.5000 0.5000 0.5000
Fe 0.7500 0.7500 0.7500
Cu 0.2500 0.2500 0.2500

Results
As for the formation enthalpy at 0 K: 218 meV per atom. The total energy is -6.4814 eV per atom.



3.
Material: YFeCu
Method: DFT, PBE-GGA
State: optimized geometry

a = 6.9511 Å, b = 4.0720 Å, c = 7.5348 Å
α = 90.00°, β = 90.00°, γ = 90.00°
Fractional coordinates of all 12 atoms:
Y 0.0230 0.2500 0.1868
Y 0.4770 0.7500 0.6868
Y 0.5230 0.2500 0.3132
Y 0.9770 0.7500 0.8132
Fe 0.1219 0.2500 0.5529
Fe 0.3781 0.7500 0.0529
Fe 0.6219 0.2500 0.9471
Fe 0.8781 0.7500 0.4471
Cu 0.2291 0.7500 0.3803
Cu 0.2709 0.2500 0.8803
Cu 0.7291 0.7500 0.1197
Cu 0.7709 0.2500 0.6197

Results
As for the formation enthalpy at 0 K: 11 meV per atom. The total energy is -6.1530 eV per atom.